Below is ZnReSnOs2 after structural relaxation, with properties calculated at the PBE level.

Output
size of the total moment = 0.630 μB per atom
energy relative to the elements = 2.614 eV/atom
DOS at the Fermi energy = 0.901 states/eV per atom

Cell and atoms, written as CIF:
```
data_ZnReSnOs2
_chemical_formula_sum 'Zn1 Re1 Sn1 Os2'
_space_group_name_H-M_alt 'P 1'
_space_group_IT_number 1
_space_group_name_Hall 'P 1'
_cell_length_a 4.821
_cell_length_b 4.605
_cell_length_c 4.821
_cell_angle_alpha 90.00
_cell_angle_beta 90.00
_cell_angle_gamma 90.00
loop_
_atom_site_label
_atom_site_fract_x
_atom_site_fract_y
_atom_site_fract_z
Sn1 0.000 0.000 0.000
Os1 0.000 0.000 0.500
Os2 0.500 0.000 0.000
Re1 0.500 0.500 0.500
Zn1 0.000 0.500 0.000
```